Record 1
The following is a DFT calculation (PBE-GGA) of MnPBr2 after structural relaxation.

Computed properties:
- raw formation energy (eV per atom) = 0.627
- SG = R-3m, No. 166
- distance to the lowest polymorph of the same formula (meV per atom) = 840
- crystal system = trigonal

POSCAR file:
```
MnPBr2
1.0
-9.429 -0.644 0.287
-8.879 1.599 2.828
-9.053 2.694 -0.421
Br Mn P
2 1 1
Cartesian
-2.342 0.312 0.231 Br
-25.019 3.337 2.463 Br
0.000 0.000 0.000 Mn
-13.680 1.825 1.347 P
```

=====

Record 2
The following is a DFT calculation (PBE-GGA) of Pr2Y5Ho after structural relaxation.

Computed properties:
- SG = C2/c, No. 15
- calculated formation energy (eV/atom) = 0.307
- distance to the lowest polymorph of the same formula (meV per atom) = 285
- crystal system = monoclinic

POSCAR file:
```
Pr2Y5Ho
1.0
-4.573 2.820 13.790
-6.151 -11.041 -7.701
-4.317 -6.685 4.628
Pr Y Ho
4 10 2
Cartesian
-9.808 -6.043 12.254 Pr
-5.362 -4.110 3.045 Pr
-7.521 -7.453 5.359 Pr
-2.287 1.410 6.895 Pr
-8.230 -13.893 -3.694 Y
-6.812 -1.013 14.411 Y
-10.571 -9.066 11.113 Y
-8.387 -7.247 9.426 Y
-8.877 -9.798 2.482 Y
-4.470 -5.839 -0.395 Y
-6.655 -7.658 1.292 Y
-6.165 -5.108 8.236 Y
-4.701 1.482 12.648 Y
-10.340 -16.387 -1.930 Y
-5.965 -1.595 10.694 Ho
-9.077 -13.311 0.024 Ho
```

=====

Record 3
The following is a DFT calculation (PBE-GGA) of Rb2TbAg2Te4 after structural relaxation.

Computed properties:
- raw formation energy (eV per atom) = -0.850
- SG = C2/m, No. 12
- crystal system = monoclinic

POSCAR file:
```
Rb2TbAg2Te4
1.0
4.432 0.000 0.000
0.000 8.869 0.499
-2.216 -3.060 7.668
Te Ag Rb Tb
4 2 2 1
Cartesian
0.000 -0.881 7.586 Te
2.216 6.690 0.581 Te
2.216 5.319 5.060 Te
0.000 0.490 3.106 Te
0.000 -1.790 4.903 Ag
2.216 7.599 3.264 Ag
0.000 4.216 2.295 Rb
2.216 1.593 5.871 Rb
0.000 0.000 0.000 Tb
```

=====

Record 4
The following is a DFT calculation (PBE-GGA) of PmY3Ho2Sb6 after structural relaxation.

Computed properties:
- raw formation energy (eV per atom) = -1.149
- SG = C2/m, No. 12
- crystal system = monoclinic

POSCAR file:
```
PmY3Ho2Sb6
1.0
7.624 -0.002 0.001
-3.812 6.603 0.001
-1.271 -2.201 7.184
Y Sb Ho Pm
3 6 2 1
Cartesian
-2.563 4.414 3.593 Y
5.105 -0.014 3.593 Y
1.271 2.200 3.593 Y
3.829 2.169 5.378 Sb
-0.035 4.400 5.378 Sb
2.576 0.000 1.808 Sb
2.523 4.369 1.796 Sb
0.018 0.031 5.390 Sb
-1.287 2.232 1.808 Sb
3.819 2.196 0.001 Ho
-0.006 4.405 0.001 Ho
0.000 0.000 0.000 Pm
```

=====

Record 5
The following is a DFT calculation (PBE-GGA) of BaGa2GeRu after structural relaxation.

Computed properties:
- SG = P4/mmm, No. 123
- calculated formation energy (eV/atom) = -0.364
- crystal system = tetragonal

POSCAR file:
```
BaGa2GeRu
1.0
4.876 0.000 0.000
0.000 4.876 0.000
0.000 0.000 4.856
Ge Ga Ba Ru
1 2 1 1
Cartesian
0.000 0.000 2.428 Ge
0.000 2.438 0.000 Ga
2.438 0.000 0.000 Ga
2.438 2.438 2.428 Ba
0.000 0.000 0.000 Ru
```

=====

Record 6
The following is a DFT calculation (PBE-GGA) of Tb4Pb3S8 after structural relaxation.

Computed properties:
- raw formation energy (eV per atom) = -1.366
- SG = C2/m, No. 12
- crystal system = monoclinic

POSCAR file:
```
Tb4Pb3S8
1.0
8.062 -0.101 -0.145
-3.922 7.121 0.163
-3.922 -2.319 6.735
S Tb Pb
8 4 3
Cartesian
-1.836 3.647 5.239 S
-5.875 3.666 5.266 S
0.109 -0.086 5.073 S
2.054 1.054 1.514 S
6.093 1.035 1.487 S
0.109 4.787 1.680 S
-3.922 -0.024 5.137 S
-3.922 4.826 1.761 S
0.000 0.000 0.000 Tb
4.031 -0.050 -0.073 Tb
-1.961 -1.160 3.367 Tb
-1.961 3.561 0.082 Tb
0.109 2.350 3.376 Pb
2.070 3.510 0.009 Pb
2.070 -1.210 3.295 Pb
```

=====

Record 7
The following is a DFT calculation (PBE-GGA) of La6SiTc2Br3 after structural relaxation.

Computed properties:
- raw formation energy (eV per atom) = -0.805
- SG = C2/m, No. 12
- crystal system = monoclinic

POSCAR file:
```
La6SiTc2Br3
1.0
7.407 -0.003 -0.001
-3.704 6.414 -0.001
-1.236 -2.140 7.762
Tc La Br Si
2 6 3 1
Cartesian
3.696 2.140 -0.001 Tc
0.007 4.270 -0.001 Tc
0.069 0.120 6.227 La
-0.148 4.267 6.229 La
2.614 0.003 1.531 La
3.770 2.005 6.229 La
2.397 4.150 1.533 La
-1.304 2.266 1.531 La
4.948 -0.010 3.880 Br
1.233 2.135 3.880 Br
-2.481 4.281 3.880 Br
0.000 0.000 0.000 Si
```

=====

Record 8
The following is a DFT calculation (PBE-GGA) of BaSr2Br after structural relaxation.

Computed properties:
- raw formation energy (eV per atom) = -0.423
- SG = P4/mmm, No. 123
- distance to the lowest polymorph of the same formula (meV per atom) = 312
- crystal system = tetragonal

POSCAR file:
```
BaSr2Br
1.0
7.602 0.000 0.000
0.000 5.178 0.000
0.000 0.000 5.178
Br Sr Ba
1 2 1
Cartesian
3.801 0.000 2.589 Br
0.000 0.000 0.000 Sr
0.000 2.589 2.589 Sr
3.801 2.589 0.000 Ba
```